[1]
Below is a relaxed structure of CaCeHo2P4, with properties calculated at the PBE level.

Calculated values
* energy of formation: -1.443 eV/atom
* DOS at the Fermi energy: 0.4 states/eV/cell
* raw total energy: -50.3 eV/cell

abc: 6.968 4.055 7.010
angles: 90.00 109.01 90.00
Space group P2/m (No. 10)
Unique sites:
Ca: 0.000 0.000 0.000
Ce: 0.500 0.500 0.000
Ho: 0.000 0.500 0.500
Ho: 0.500 0.000 0.500
P: 0.253 0.000 0.745
P: 0.260 0.500 0.256

[2]
Below is a relaxed structure of CaCeHo2S4, with properties calculated at the PBE level.

Calculated values
* DOS at the Fermi energy: 7.0 states/eV/cell
* raw total energy: -49.8 eV/cell
* energy relative to the elements, uncorrected: -2.019 eV/atom

abc: 6.844 3.932 6.879
angles: 90.00 109.20 90.00
Space group P2/m (No. 10)
Unique sites:
Ca: 0.000 0.000 0.000
Ce: 0.000 0.500 0.500
Ho: 0.500 0.000 0.500
Ho: 0.500 0.500 0.000
S: 0.259 0.500 0.250
S: 0.261 0.000 0.757

[3]
Below is a relaxed structure of CaCe2HoSb4, with properties calculated at the PBE level.

Calculated values
* DOS at the Fermi energy: 8.8 states/eV/cell
* raw total energy: -43.2 eV/cell
* energy relative to the elements, uncorrected: -1.032 eV/atom

abc: 7.669 4.489 7.795
angles: 90.00 109.62 90.00
Space group P2/m (No. 10)
Unique sites:
Ca: 0.000 0.000 0.000
Ce: 0.500 0.000 0.500
Ce: 0.500 0.500 0.000
Ho: 0.000 0.500 0.500
Sb: 0.247 0.000 0.744
Sb: 0.253 0.500 0.257

[4]
Below is a relaxed structure of Ca2CeHoSb4, with properties calculated at the PBE level.

Calculated values
* DOS at the Fermi energy: 6.6 states/eV/cell
* raw total energy: -38.6 eV/cell
* energy relative to the elements, uncorrected: -0.949 eV/atom

abc: 7.740 4.493 7.758
angles: 90.00 109.67 90.00
Space group P2/m (No. 10)
Unique sites:
Ca: 0.000 0.000 0.000
Ca: 0.000 0.500 0.500
Ce: 0.500 0.000 0.500
Ho: 0.500 0.500 0.000
Sb: 0.262 0.500 0.252
Sb: 0.263 0.000 0.756

[5]
Below is a relaxed structure of CaCeHo4Se8, with properties calculated at the PBE level.

Calculated values
* DOS at the Fermi energy: 32.2 states/eV/cell
* raw total energy: -236.8 eV/cell
* energy relative to the elements, uncorrected: -1.773 eV/atom

abc: 8.4382 8.4382 21.0256
angles: 90.00 90.00 120.00
Space group R3m (No. 160, hexagonal axes)
Unique sites:
Ca: 0.0000 0.0000 0.0000
Ce: 0.0000 0.0000 0.3729
Ho: 0.0000 0.0000 0.7481
Ho: 0.0050 0.5025 0.8746
Se: 0.0000 0.0000 0.1343
Se: 0.0000 0.0000 0.6160
Se: 0.0132 0.5066 0.1300
Se: 0.1775 0.3549 0.9503

[6]
Below is a relaxed structure of Ca3CeHo2Se6, with properties calculated at the PBE level.

Calculated values
* DOS at the Fermi energy: 20.8 states/eV/cell
* raw total energy: -128.5 eV/cell
* energy relative to the elements, uncorrected: -1.855 eV/atom

abc: 7.160 12.389 7.266
angles: 90.00 109.18 90.00
Space group C2/m (No. 12)
Unique sites:
Ca: 0.000 0.000 0.000
Ca: 0.000 0.335 0.000
Ce: 0.000 0.500 0.500
Ho: 0.000 0.167 0.500
Se: 0.241 0.000 0.747
Se: 0.246 0.171 0.252

[7]
Below is a relaxed structure of Ca3Ce2HoSe6, with properties calculated at the PBE level.

Calculated values
* DOS at the Fermi energy: 30.0 states/eV/cell
* raw total energy: -131.3 eV/cell
* energy relative to the elements, uncorrected: -1.857 eV/atom

abc: 7.209 12.477 7.333
angles: 90.00 109.12 90.00
Space group C2/m (No. 12)
Unique sites:
Ca: 0.000 0.000 0.000
Ca: 0.000 0.332 0.000
Ce: 0.000 0.166 0.500
Ho: 0.000 0.500 0.500
Se: 0.241 0.500 0.248
Se: 0.247 0.337 0.752

[8]
Below is a relaxed structure of CaCeHo2Se4, with properties calculated at the PBE level.

Calculated values
* DOS at the Fermi energy: 8.2 states/eV/cell
* raw total energy: -45.5 eV/cell
* energy relative to the elements, uncorrected: -1.810 eV/atom

abc: 7.137 4.104 7.187
angles: 90.00 109.17 90.00
Space group P2/m (No. 10)
Unique sites:
Ca: 0.000 0.000 0.000
Ce: 0.000 0.500 0.500
Ho: 0.500 0.000 0.500
Ho: 0.500 0.500 0.000
Se: 0.258 0.500 0.249
Se: 0.260 0.000 0.758

[9]
Below is a relaxed structure of CaCe2HoSe4, with properties calculated at the PBE level.

Calculated values
* DOS at the Fermi energy: 13.1 states/eV/cell
* raw total energy: -46.9 eV/cell
* energy relative to the elements, uncorrected: -1.820 eV/atom

abc: 7.179 4.133 7.306
angles: 90.00 109.00 90.00
Space group P2/m (No. 10)
Unique sites:
Ca: 0.000 0.000 0.000
Ce: 0.000 0.500 0.500
Ce: 0.500 0.000 0.500
Ho: 0.500 0.500 0.000
Se: 0.249 0.500 0.239
Se: 0.257 0.000 0.763

[10]
Below is a relaxed structure of CaTbCeHo, with properties calculated at the PBE level.

Calculated values
* energy of formation: 0.243 eV/atom
* DOS at the Fermi energy: 39.8 states/eV/cell
* raw total energy: -64.7 eV/cell

abc: 8.137 8.137 8.137
angles: 90.00 90.00 90.00
Space group F-43m (No. 216)
Unique sites:
Ca: 0.000 0.000 0.000
Tb: 0.250 0.250 0.250
Ce: 0.000 0.000 0.500
Ho: 0.250 0.250 0.750

[11]
Below is a relaxed structure of CaCe3Ho2Te6, with properties calculated at the PBE level.

Calculated values
* DOS at the Fermi energy: 45.0 states/eV/cell
* raw total energy: -128.4 eV/cell
* energy relative to the elements, uncorrected: -1.366 eV/atom

abc: 19.472 4.397 8.971
angles: 90.00 104.63 90.00
Space group C2/m (No. 12)
Unique sites:
Ca: 0.000 0.000 0.000
Ce: 0.000 0.000 0.500
Ce: 0.166 0.500 0.831
Ho: 0.169 0.500 0.338
Te: 0.005 0.500 0.247
Te: 0.165 0.000 0.092
Te: 0.169 0.000 0.577

[12]
Below is a relaxed structure of Ca2CeHoTe4, with properties calculated at the PBE level.

Calculated values
* DOS at the Fermi energy: 9.3 states/eV/cell
* raw total energy: -38.6 eV/cell
* energy relative to the elements, uncorrected: -1.445 eV/atom

abc: 7.670 4.425 7.834
angles: 90.00 109.02 90.00
Space group P2/m (No. 10)
Unique sites:
Ca: 0.000 0.000 0.000
Ca: 0.500 0.500 0.000
Ce: 0.000 0.500 0.500
Ho: 0.500 0.000 0.500
Te: 0.258 0.000 0.752
Te: 0.258 0.500 0.253

[13]
Below is a relaxed structure of Ca3Ce3HoTe8, with properties calculated at the PBE level.

Calculated values
* DOS at the Fermi energy: 77.9 states/eV/cell
* raw total energy: -226.3 eV/cell
* energy relative to the elements, uncorrected: -1.462 eV/atom

abc: 8.9449 8.9449 22.2816
angles: 90.00 90.00 120.00
Space group R-3m (No. 166, hexagonal axes)
Unique sites:
Ca: 0.0000 0.5000 0.0000
Ce: 0.0000 0.5000 0.5000
Ho: 0.0000 0.0000 0.5000
Te: 0.0000 0.0000 0.2519
Te: 0.0069 0.5034 0.2491

[14]
Below is a relaxed structure of Ca2Ce3HoTe6, with properties calculated at the PBE level.

Calculated values
* DOS at the Fermi energy: 46.1 states/eV/cell
* raw total energy: -124.3 eV/cell
* energy relative to the elements, uncorrected: -1.412 eV/atom

abc: 7.688 13.308 7.852
angles: 90.00 109.03 90.00
Space group C2/m (No. 12)
Unique sites:
Ca: 0.000 0.166 0.000
Ce: 0.000 0.000 0.500
Ce: 0.000 0.330 0.500
Ho: 0.000 0.500 0.000
Te: 0.244 0.335 0.239
Te: 0.248 0.500 0.757

[15]
Below is a relaxed structure of CaCeHo2Tl4, with properties calculated at the PBE level.

Calculated values
* energy of formation: -0.321 eV/atom
* DOS at the Fermi energy: 32.0 states/eV/cell
* raw total energy: -87.4 eV/cell

abc: 5.4081 5.4081 26.8693
angles: 90.00 90.00 120.00
Space group R-3m (No. 166, hexagonal axes)
Unique sites:
Ca: 0.0000 0.0000 0.0000
Ce: 0.0000 0.0000 0.5000
Ho: 0.0000 0.0000 0.2524
Tl: 0.0000 0.0000 0.1249
Tl: 0.0000 0.0000 0.3750

[16]
Below is a relaxed structure of CaCe2HoTl4, with properties calculated at the PBE level.

Calculated values
* energy of formation: -0.302 eV/atom
* DOS at the Fermi energy: 49.3 states/eV/cell
* raw total energy: -91.0 eV/cell

abc: 5.4653 5.4653 26.8942
angles: 90.00 90.00 120.00
Space group R-3m (No. 166, hexagonal axes)
Unique sites:
Ca: 0.0000 0.0000 0.0000
Ce: 0.0000 0.0000 0.2523
Ho: 0.0000 0.0000 0.5000
Tl: 0.0000 0.0000 0.1267
Tl: 0.0000 0.0000 0.3770

[17]
Below is a relaxed structure of Ca2CeHoTl4, with properties calculated at the PBE level.

Calculated values
* energy of formation: -0.341 eV/atom
* DOS at the Fermi energy: 36.0 states/eV/cell
* raw total energy: -80.1 eV/cell

abc: 5.4649 5.4649 26.8888
angles: 90.00 90.00 120.00
Space group R-3m (No. 166, hexagonal axes)
Unique sites:
Ca: 0.0000 0.0000 0.2492
Ce: 0.0000 0.0000 0.0000
Ho: 0.0000 0.0000 0.5000
Tl: 0.0000 0.0000 0.1261
Tl: 0.0000 0.0000 0.3766

[18]
Below is a relaxed structure of CaCe2I6, with properties calculated at the PBE level.

Calculated values
* DOS at the Fermi energy: 26.2 states/eV/cell
* raw total energy: -70.8 eV/cell
* energy relative to the elements, uncorrected: -1.357 eV/atom

abc: 17.566 4.372 11.093
angles: 90.00 110.07 90.00
Space group C2/m (No. 12)
Unique sites:
Ca: 0.000 0.000 0.000
Ce: 0.183 0.500 0.361
I: 0.037 0.000 0.300
I: 0.135 0.500 0.043
I: 0.184 0.500 0.650

[19]
Below is a relaxed structure of CaCeI2, with properties calculated at the PBE level.

Calculated values
* DOS at the Fermi energy: 24.5 states/eV/cell
* raw total energy: -41.9 eV/cell
* energy relative to the elements, uncorrected: -0.733 eV/atom

abc: 4.1183 4.1183 31.8853
angles: 90.00 90.00 120.00
Space group R-3m (No. 166, hexagonal axes)
Unique sites:
Ca: 0.0000 0.0000 0.0000
Ce: 0.0000 0.0000 0.5000
I: 0.0000 0.0000 0.3959

[20]
Below is a relaxed structure of CaCeI6, with properties calculated at the PBE level.

Calculated values
* ΔE to the lowest computed polymorph: 0.000 eV per atom
* raw total energy: -55.0 eV/cell
* energy relative to the elements, uncorrected: -1.285 eV/atom

abc: 7.651 14.124 7.622
angles: 90.00 108.10 90.00
Space group C2/m (No. 12)
Unique sites:
Ca: 0.000 0.000 0.000
Ce: 0.000 0.500 0.500
I: 0.241 0.349 0.746
I: 0.246 0.500 0.260

[21]
Below is a relaxed structure of CaCeI5, with properties calculated at the PBE level.

Calculated values
* DOS at the Fermi energy: 29.9 states/eV/cell
* raw total energy: -101.4 eV/cell
* energy relative to the elements, uncorrected: -1.380 eV/atom

abc: 12.398 10.713 12.360
angles: 90.00 116.74 90.00
Space group C2/c (No. 15)
Unique sites:
Ca: 0.000 0.068 0.250
Ce: 0.250 0.250 0.000
I: 0.000 0.233 0.750
I: 0.106 0.272 0.150
I: 0.228 0.039 0.496

[22]
Below is a relaxed structure of CaCeI6, with properties calculated at the PBE level.

Calculated values
* ΔE to the lowest computed polymorph: 0.017 eV per atom
* raw total energy: -82.1 eV/cell
* energy relative to the elements, uncorrected: -1.268 eV/atom

abc: 7.7234 7.7234 21.1198
angles: 90.00 90.00 120.00
Space group R-3 (No. 148, hexagonal axes)
Unique sites:
Ca: 0.0000 0.0000 0.0000
Ce: 0.0000 0.0000 0.5000
I: 0.9997 0.3222 0.5826

[23]
Below is a relaxed structure of KCaCeI6, with properties calculated at the PBE level.

Calculated values
* DOS at the Fermi energy: 17.1 states/eV/cell
* raw total energy: -63.1 eV/cell
* energy relative to the elements, uncorrected: -1.471 eV/atom

abc: 8.1117 8.1117 15.5647
angles: 90.00 90.00 120.00
Space group P-31c (No. 163)
Unique sites:
K: 0.0000 0.0000 0.0000
Ca: 0.3333 0.6667 0.2500
Ce: 0.3333 0.6667 0.7500
I: 0.0003 0.3652 0.1335